(1)
Compound: Sm2GaSi4Rh3
Source: Alexandria via LeMat-Bulk
Functional: PBE-GGA
Structure: relaxed

Geometry as CIF:
```
data_Sm2GaSi4Rh3
_cell_length_a 4.149
_cell_length_b 4.149
_cell_length_c 10.084
_cell_angle_alpha 90.00
_cell_angle_beta 90.00
_cell_angle_gamma 90.00
_symmetry_space_group_name_H-M 'P -4 m 2'
_symmetry_Int_Tables_number 115
_symmetry_space_group_name_Hall 'P -4 -2'
loop_
_atom_site_label
_atom_site_type_symbol
_atom_site_fract_x
_atom_site_fract_y
_atom_site_fract_z
_atom_site_occupancy
Sm1 Sm 0.000 0.500 0.242 1
Ga1 Ga 0.000 0.000 0.500 1
Si1 Si 0.000 0.000 0.000 1
Si2 Si 0.000 0.500 0.644 1
Si3 Si 0.500 0.500 0.000 1
Rh1 Rh 0.000 0.500 0.879 1
Rh2 Rh 0.500 0.500 0.500 1
```

Summary:
Total energy (Ry per atom): -0.47933

(2)
Compound: SmGa2SiRh
Source: Alexandria via LeMat-Bulk
Functional: PBE-GGA
Structure: relaxed

Geometry as CIF:
```
data_SmGa2SiRh
_cell_length_a 4.039
_cell_length_b 4.057
_cell_length_c 10.914
_cell_angle_alpha 90.00
_cell_angle_beta 90.00
_cell_angle_gamma 90.00
_symmetry_space_group_name_H-M 'I m m 2'
_symmetry_Int_Tables_number 44
_symmetry_space_group_name_Hall 'I 2 -2'
loop_
_atom_site_label
_atom_site_type_symbol
_atom_site_fract_x
_atom_site_fract_y
_atom_site_fract_z
_atom_site_occupancy
Sm1 Sm 0.000 0.000 0.000 1
Ga1 Ga 0.000 0.000 0.386 1
Ga2 Ga 0.000 0.500 0.247 1
Si1 Si 0.000 0.000 0.610 1
Rh1 Rh 0.000 0.500 0.735 1
```

Summary:
Total energy (Ry per atom): -0.39820

(3)
Compound: Sm2GaSi2Rh5
Source: Alexandria via LeMat-Bulk
Functional: PBE-GGA
Structure: relaxed

Geometry as CIF:
```
data_Sm2GaSi2Rh5
_cell_length_a 9.834
_cell_length_b 9.834
_cell_length_c 3.475
_cell_angle_alpha 90.00
_cell_angle_beta 90.00
_cell_angle_gamma 90.00
_symmetry_space_group_name_H-M 'P 4/m b m'
_symmetry_Int_Tables_number 127
_symmetry_space_group_name_Hall '-P 4 2ab'
loop_
_atom_site_label
_atom_site_type_symbol
_atom_site_fract_x
_atom_site_fract_y
_atom_site_fract_z
_atom_site_occupancy
Sm1 Sm 0.176 0.324 0.000 1
Ga1 Ga 0.000 0.000 0.000 1
Si1 Si 0.123 0.623 0.000 1
Rh1 Rh 0.000 0.500 0.500 1
Rh2 Rh 0.067 0.787 0.500 1
```

Summary:
Total energy (Ry per atom): -0.50693

(4)
Compound: SmGaSiRh3
Source: Alexandria via LeMat-Bulk
Functional: PBE-GGA
Structure: relaxed

Geometry as CIF:
```
data_SmGaSiRh3
_cell_length_a 5.712
_cell_length_b 14.551
_cell_length_c 5.757
_cell_angle_alpha 90.00
_cell_angle_beta 90.00
_cell_angle_gamma 90.00
_symmetry_space_group_name_H-M 'C m c m'
_symmetry_Int_Tables_number 63
_symmetry_space_group_name_Hall '-C 2c 2'
loop_
_atom_site_label
_atom_site_type_symbol
_atom_site_fract_x
_atom_site_fract_y
_atom_site_fract_z
_atom_site_occupancy
Sm1 Sm 0.000 0.211 0.250 1
Ga1 Ga 0.000 0.100 0.750 1
Si1 Si 0.000 0.425 0.750 1
Rh1 Rh 0.000 0.267 0.750 1
Rh2 Rh 0.245 0.000 0.000 1
```

Summary:
Total energy (Ry per atom): -0.47620

(5)
Compound: Sm3GaSi2Rh9
Source: Alexandria via LeMat-Bulk
Functional: PBE-GGA
Structure: relaxed

Geometry as CIF:
```
data_Sm3GaSi2Rh9
_cell_length_a 6.3782
_cell_length_b 6.3782
_cell_length_c 7.8577
_cell_angle_alpha 90.00
_cell_angle_beta 90.00
_cell_angle_gamma 120.00
_symmetry_space_group_name_H-M 'P -3 m 1'
_symmetry_Int_Tables_number 164
_symmetry_space_group_name_Hall '-P 3 2"'
loop_
_atom_site_label
_atom_site_type_symbol
_atom_site_fract_x
_atom_site_fract_y
_atom_site_fract_z
_atom_site_occupancy
Sm1 Sm 0.0000 0.0000 0.0000 1
Sm2 Sm 0.3333 0.6667 0.6616 1
Ga1 Ga 0.0000 0.0000 0.5000 1
Si1 Si 0.3333 0.6667 0.1611 1
Rh1 Rh 0.0000 0.5000 0.0000 1
Rh2 Rh 0.1709 0.3417 0.3264 1
```

Summary:
Total energy (Ry per atom): -0.50189

(6)
Compound: Sm2GaSiRh6
Source: Alexandria via LeMat-Bulk
Functional: PBE-GGA
Structure: relaxed

Geometry as CIF:
```
data_Sm2GaSiRh6
_cell_length_a 6.410
_cell_length_b 6.422
_cell_length_c 9.073
_cell_angle_alpha 90.00
_cell_angle_beta 90.00
_cell_angle_gamma 90.00
_symmetry_space_group_name_H-M 'I m m m'
_symmetry_Int_Tables_number 71
_symmetry_space_group_name_Hall '-I 2 2'
loop_
_atom_site_label
_atom_site_type_symbol
_atom_site_fract_x
_atom_site_fract_y
_atom_site_fract_z
_atom_site_occupancy
Sm1 Sm 0.000 0.000 0.250 1
Ga1 Ga 0.000 0.500 0.000 1
Si1 Si 0.000 0.500 0.500 1
Rh1 Rh 0.000 0.500 0.256 1
Rh2 Rh 0.244 0.256 0.500 1
```

Summary:
Total energy (Ry per atom): -0.49098

> The lowest total energy belongs to which entry?

Sm2GaSi2Rh5

> Among the records above, which one has the highest total energy?

SmGa2SiRh

> Among the records above, which one has the lowest total energy?

Sm2GaSi2Rh5